{
  "formula": "K2NiAu",
  "functional": "PBE",
  "state": "relaxed",
  "cell": [[4.305, 0.000, 0.000], [0.000, 4.335, 0.024], [0.000, 4.316, 5.844]],
  "species": ["K", "K", "Ni", "Au"],
  "frac_coords": [[0.000, 0.499, 0.498], [0.000, 0.001, 0.002], [0.500, 0.250, 0.250], [0.500, 0.750, 0.750]],
  "rho_g_cm3": 5.10,
  "ef_ev_per_atom": 0.3797,
  "crystal_system": "monoclinic",
  "space_group": "P2/m, No. 10",
  "total_energy_ev_per_atom": -2.434
}